[1]
# HfUPa

Crystalline HfUPa at its relaxed geometry (PBE, the Alexandria database).

Cell and atoms, written as POSCAR:
```
HfUPa
1.0
2.972 0.000 0.000
0.000 5.039 0.000
0.000 0.000 8.982
Hf U Pa
2 2 2
direct
0.250 0.250 0.077
0.750 0.750 0.923
0.250 0.250 0.736
0.750 0.750 0.264
0.250 0.750 0.595
0.750 0.250 0.405
```

The total energy comes out at -10.11 eV per atom. The value obtained for the formation energy is 132 meV/atom. For the spin magnetization, the calculation gives 1.37 μB/f.u. As for the space group: Pmmn (59).

[2]
# HfU4Pa

Crystalline HfU4Pa at its relaxed geometry (PBE, the Alexandria database).

Cell and atoms, written as POSCAR:
```
HfU4Pa
1.0
0.000 4.021 4.021
4.021 0.000 4.021
4.021 4.021 0.000
Hf U Pa
1 4 1
direct
0.000 0.000 0.000
0.374 0.374 0.374
0.374 0.374 0.877
0.374 0.877 0.374
0.877 0.374 0.374
0.750 0.750 0.750
```

The total energy comes out at -10.58 eV per atom. The value obtained for the formation energy is 183 meV/atom. For the spin magnetization, the calculation gives 0.01 μB/f.u. As for the space group: F-43m (216).

[3]
# HfUPa

Crystalline HfUPa at its relaxed geometry (PBE, the Alexandria database).

Cell and atoms, written as POSCAR:
```
HfUPa
1.0
5.065 0.000 0.000
-2.532 4.386 0.000
0.000 0.000 2.979
Hf U Pa
1 1 1
direct
0.000 0.000 0.000
0.667 0.333 0.500
0.333 0.667 0.500
```

The total energy comes out at -10.17 eV per atom. The value obtained for the formation energy is 80 meV/atom. For the spin magnetization, the calculation gives 0.00 μB/f.u. As for the space group: P-6m2 (187).

[4]
# Hf2UPa

Crystalline Hf2UPa at its relaxed geometry (PBE, the Alexandria database).

Cell and atoms, written as POSCAR:
```
Hf2UPa
1.0
1.567 0.905 10.888
-1.567 0.905 10.888
0.000 -1.809 10.888
Hf U Pa
2 1 1
direct
0.249 0.249 0.249
0.751 0.751 0.751
0.500 0.500 0.500
0.000 0.000 0.000
```

The total energy comes out at -9.94 eV per atom. The value obtained for the formation energy is 230 meV/atom. For the spin magnetization, the calculation gives 1.28 μB/f.u. As for the space group: R-3m (166).